A relaxed structure of PuAg2SnO6, computed with PBE.

Cell and atoms, written as CIF:
```
data_PuAg2SnO6
_symmetry_space_group_name_H-M 'P 4 m m'
_symmetry_Int_Tables_number 99
_cell_length_a 5.825
_cell_length_b 5.825
_cell_length_c 4.151
_cell_angle_alpha 90.00
_cell_angle_beta 90.00
_cell_angle_gamma 90.00
loop_
_symmetry_equiv_pos_as_xyz
'x,y,z'
'-y,x,z'
'-x,-y,z'
'y,-x,z'
'-x,y,z'
'y,x,z'
'x,-y,z'
'-y,-x,z'
loop_
_atom_site_label
_atom_site_fract_x
_atom_site_fract_y
_atom_site_fract_z
Pu1 0.000 0.000 0.000
Ag1 0.000 0.500 0.499
Sn1 0.500 0.500 0.000
O1 0.000 0.000 0.500
O2 0.248 0.248 0.000
O3 0.500 0.500 0.500
```

Computed properties:
The formation energy (no corrections) is -1.3699 eV per atom. Its density of states at the Fermi level is 2.82 states/eV/f.u. The value obtained for the magnetization is 2.00 μB per cell.